## SmY3Fe34 (PBE)

Data for crystalline SmY3Fe34 at its relaxed geometry.

Output
**Density of states at the Fermi level**: 35.5 states/eV/cell
**SG**: P-6m2, No. 187
**Theoretical density**: 7.46 g/cm3
**Magnetization**: 78.309 μB per cell
**Energy of formation**: 0.00 eV per atom

a b c (Å): 8.4935 8.4935 8.2460
angles (deg): 90.00 90.00 120.00
Last column: magnetic moment on the atom in μB.
Fractional coordinates of all 38 atoms:
Sm1 0.6667 0.3333 0.0000  -0.30
Y1 0.3333 0.6667 0.5000  -0.31
Y2 0.0000 0.0000 0.5000  -0.30
Y3 0.0000 0.0000 0.0000  -0.30
Fe1 0.6667 0.3333 0.6431  2.63
Fe2 0.3333 0.6667 0.8564  2.63
Fe3 0.3333 0.6667 0.1436  2.63
Fe4 0.6667 0.3333 0.3569  2.63
Fe5 0.8346 0.6691 0.7648  2.38
Fe6 0.3309 0.1654 0.7648  2.38
Fe7 0.8346 0.1654 0.7648  2.38
Fe8 0.1660 0.3321 0.7341  2.37
Fe9 0.6679 0.8340 0.7341  2.37
Fe10 0.1660 0.8340 0.7341  2.37
Fe11 0.1660 0.3321 0.2659  2.37
Fe12 0.6679 0.8340 0.2659  2.37
Fe13 0.1660 0.8340 0.2659  2.37
Fe14 0.8346 0.6691 0.2352  2.38
Fe15 0.3309 0.1654 0.2352  2.38
Fe16 0.8346 0.1654 0.2352  2.38
Fe17 0.4996 0.9992 0.7493  2.13
Fe18 0.0008 0.5004 0.7493  2.13
Fe19 0.4996 0.5004 0.7493  2.13
Fe20 0.4996 0.9992 0.2507  2.13
Fe21 0.0008 0.5004 0.2507  2.13
Fe22 0.4996 0.5004 0.2507  2.13
Fe23 0.3695 0.0403 0.5000  2.44
Fe24 0.9597 0.3291 0.5000  2.44
Fe25 0.6709 0.6305 0.5000  2.44
Fe26 0.6709 0.0403 0.5000  2.44
Fe27 0.3695 0.3291 0.5000  2.44
Fe28 0.9597 0.6305 0.5000  2.44
Fe29 0.6299 0.9585 0.0000  2.44
Fe30 0.0415 0.6713 0.0000  2.44
Fe31 0.3287 0.3701 0.0000  2.44
Fe32 0.3287 0.9585 0.0000  2.44
Fe33 0.6299 0.6713 0.0000  2.44
Fe34 0.0415 0.3701 0.0000  2.44